## KOsBr2 (GGA-PBE)

Data for a relaxed KOsBr2 crystal.

Calculated values
Uncorrected formation energy = 0.639 eV/atom
Crystal system = tetragonal
Relative energy among the computed polymorphs = 592 meV per atom
V = 31.1 Å³/atom
DOS(E_F) = 4.27 states/eV/cell
Space group = I-4m2 (119)

Lattice parameters (Å, degrees): 7.7983 7.7983 7.7983 149.16 149.16 44.17
Last column: magnetic moment on the atom in μB.
Atoms (fractional coordinates):
Os  0.7500  0.2500  0.5000  2.69
Br  0.0000  0.0000  0.0000  0.03
Br  0.2500  0.7500  0.5000  0.07
K  0.5000  0.5000  0.0000  0.00